This record from the Alexandria database describes In2PtAu after structural relaxation. The functional is PBE.

Unit cell a=6.450 b=6.939 c=3.459 alpha=90.00 beta=90.00 gamma=90.00
Space group Cmmm (No. 65)
Symmetry-distinct sites (fractional):
In: 0.250 0.250 0.000 [4 per cell]
Pt: 0.000 0.000 0.500 [2 per cell]
Au: 0.000 0.500 0.500 [2 per cell]

This record from the Alexandria database describes InPt4Au after structural relaxation. The functional is PBE.

Unit cell a=7.554 b=7.554 c=7.554 alpha=90.00 beta=90.00 gamma=90.00
Space group F-43m (No. 216)
Symmetry-distinct sites (fractional):
In: 0.000 0.000 0.000 [4 per cell]
Pt: 0.125 0.125 0.625 [16 per cell]
Au: 0.250 0.250 0.250 [4 per cell]

- Energy relative to the lowest polymorph listed for this composition: 204 meV per atom

This record from the Alexandria database describes In8Pt3Au2 after structural relaxation. The functional is PBE.

Unit cell a=8.166 b=4.611 c=8.186 alpha=90.00 beta=110.99 gamma=90.00
Space group P2/m (No. 10)
Symmetry-distinct sites (fractional):
In: 0.117 0.000 0.383 [2 per cell]
In: 0.124 0.500 0.872 [2 per cell]
In: 0.370 0.500 0.625 [2 per cell]
In: 0.371 0.000 0.129 [2 per cell]
Pt: 0.252 0.000 0.753 [2 per cell]
Pt: 0.500 0.500 0.000 [1 per cell]
Au: 0.244 0.500 0.258 [2 per cell]

This record from the Alexandria database describes InPtAu3 after structural relaxation. The functional is PBE.

Unit cell a=5.059 b=5.059 c=5.059 alpha=90.00 beta=90.00 gamma=90.00
Space group Pm-3m (No. 221)
Symmetry-distinct sites (fractional):
In: 0.000 0.000 0.000 [1 per cell]
Pt: 0.500 0.500 0.500 [1 per cell]
Au: 0.000 0.000 0.500 [3 per cell]

- Energy relative to the lowest polymorph listed for this composition: 581 meV per atom

This record from the Alexandria database describes In2PtAu after structural relaxation. The functional is PBE.

Unit cell a=3.799 b=3.799 c=5.600 alpha=90.00 beta=90.00 gamma=90.00
Space group P4mm (No. 99)
Symmetry-distinct sites (fractional):
In: 0.000 0.000 0.000 [1 per cell]
In: 0.500 0.500 0.334 [1 per cell]
Pt: 0.000 0.000 0.497 [1 per cell]
Au: 0.500 0.500 0.825 [1 per cell]

This record from the Alexandria database describes In4PtAu after structural relaxation. The functional is PBE.

Unit cell a=8.301 b=8.301 c=8.301 alpha=90.00 beta=90.00 gamma=90.00
Space group F-43m (No. 216)
Symmetry-distinct sites (fractional):
In: 0.125 0.125 0.125 [16 per cell]
Pt: 0.250 0.250 0.750 [4 per cell]
Au: 0.000 0.000 0.500 [4 per cell]

- Energy relative to the lowest polymorph listed for this composition: 776 meV per atom

This record from the Alexandria database describes In2PtAu after structural relaxation. The functional is PBE.

Unit cell a=4.0572 b=4.0572 c=18.7559 alpha=90.00 beta=90.00 gamma=120.00
Space group R3m (No. 160, hexagonal axes)
Symmetry-distinct sites (fractional):
In: 0.0000 0.0000 0.0000 [3 per cell]
In: 0.0000 0.0000 0.1810 [3 per cell]
Pt: 0.0000 0.0000 0.5887 [3 per cell]
Au: 0.0000 0.0000 0.4242 [3 per cell]

This record from the Alexandria database describes In2Pt7Au after structural relaxation. The functional is PBE.

Unit cell a=7.229 b=14.824 c=3.948 alpha=90.00 beta=90.00 gamma=90.00
Space group Cmmm (No. 65)
Symmetry-distinct sites (fractional):
In: 0.000 0.195 0.000 [4 per cell]
Pt: 0.000 0.000 0.000 [2 per cell]
Pt: 0.000 0.320 0.500 [4 per cell]
Pt: 0.191 0.403 0.000 [8 per cell]
Au: 0.000 0.500 0.500 [2 per cell]

What formation energy from the elements values result from the calculations? In sequence: -20.5 -0.4 -31.9 102.5 -26.4 39.9 -23.4 17.7 kJ per mole of atoms.